VASP calculation (GGA-PBE) on Ga2Cu13 after structural relaxation.

It has space group P-1 (No. 2), with a = 4.440 Å, b = 6.370 Å, c = 6.921 Å, α = 107.99°, β = 95.87° and γ = 90.75°. The asymmetric unit holds Ga at (0.072, 0.142, 0.394), Cu at (0.000, 0.000, 0.000), Cu at (0.137, 0.267, 0.802), Cu at (0.202, 0.404, 0.195), Cu at (0.269, 0.532, 0.603), Cu at (0.333, 0.666, 0.001), Cu at (0.394, 0.799, 0.400) and Cu at (0.466, 0.934, 0.804).

The calculated formation energy comes out at -0.050 eV per atom. As for the energy above the most stable polymorph in this dataset: 0.000 eV/atom.


VASP calculation (GGA-PBE) on GaCu7 after structural relaxation.

It has space group Fm-3m (No. 225), with a = 7.326 Å, b = 7.326 Å, c = 7.326 Å, α = 90.00°, β = 90.00° and γ = 90.00°. The asymmetric unit holds Ga at (0.000, 0.000, 0.000), Cu at (0.000, 0.000, 0.500) and Cu at (0.000, 0.250, 0.250).

The calculated formation energy comes out at -0.066 eV per atom.


E values, unit hartree per atom, following the record order: -0.1471 -0.1480.